[1]
TbPrPb2 (PBE, optimized geometry); crystal system = monoclinic; E_form = -51 kJ per mole of atoms; theoretical density = 9.6 g/cm³; SG = Pm (6); electronic total energy = -0.174 hartree per atom
1.0
4.620 0.000 0.000
0.000 4.519 0.000
-2.304 0.000 5.949
Tb Pr Pb
1 1 2
direct
0.000 0.000 0.000
0.261 0.500 0.525
0.533 0.500 0.066
0.727 0.000 0.457

[2]
Tb2PrPb9 (PBE, optimized geometry); crystal system = tetragonal; E_form = -31 kJ per mole of atoms; theoretical density = 10.9 g/cm³; SG = P4/mmm (123); electronic total energy = -0.157 hartree per atom
1.0
4.907 0.000 0.000
0.000 4.907 0.000
0.000 0.000 14.695
Tb Pr Pb
2 1 9
direct
0.000 0.000 0.165
0.000 0.000 0.835
0.000 0.000 0.500
0.000 0.500 0.000
0.000 0.500 0.329
0.000 0.500 0.671
0.500 0.000 0.000
0.500 0.000 0.329
0.500 0.000 0.671
0.500 0.500 0.165
0.500 0.500 0.500
0.500 0.500 0.835

E_form of number 1 (TbPrPb2)?
-51 kJ per mole of atoms